No. 1
Computed, not measured: crystalline Hf2CrRhN at its relaxed geometry at the PBE-GGA level of DFT.

```
Hf2CrRhN
1.0
-3.0903 -2.5525 -2.0181
-1.6006 -1.2308 4.0077
-2.3080 2.8347 -0.0512
Cr N Hf Rh
1 1 2 1
Direct
0.0000 0.0000 0.5000
0.0000 0.0000 0.0000
0.5000 0.0000 0.0000
0.0000 0.5000 0.0000
0.5000 0.5000 0.5000
```

Uncorrected energy = -9.94 eV/atom
E_form (uncorrected) = -86.5 kJ per mole of atoms

=====

No. 2
Computed, not measured: crystalline HgRuBr2 at its relaxed geometry at the PBE-GGA level of DFT.

```
HgRuBr2
1.0
-3.2381 -0.6690 0.0317
0.6536 -3.1904 -0.5681
0.4431 -1.6747 9.9147
Br Ru Hg
2 1 1
Direct
0.0000 0.0000 0.5832
0.0000 0.0000 0.9168
0.5000 0.5000 0.7500
0.5000 0.5000 0.2500
```

Uncorrected energy = -2.87 eV/atom
E_form (uncorrected) = 34.6 kJ per mole of atoms
Distance to the lowest polymorph of the same formula = 0.389 eV per atom

=====

> The lowest E_form (uncorrected) belongs to which entry?

Hf2CrRhN